1.
The following is a DFT calculation (PBE-GGA) of a relaxed structure of CeDy2In2.

Cell: 5.1455 5.1455 12.5596 Å, 90.00 90.00 120.00°
Space group P6_3/mmc (No. 194)
Symmetry-distinct sites (fractional):
Ce 0.0000 0.0000 0.2500
Dy 0.0000 0.0000 0.0000
Dy 0.3333 0.6667 0.2500
In 0.3333 0.6667 0.6268

The calculation puts the energy relative to the elements at -0.059 eV per atom. The magnetic moment is 0.000 Bohr magnetons per cell.

---

2.
The following is a DFT calculation (PBE-GGA) of a relaxed structure of CeDyIn6.

Cell: 4.6768 4.6768 9.3351 Å, 90.00 90.00 90.00°
Space group P4/mmm (No. 123)
Symmetry-distinct sites (fractional):
Ce 0.0000 0.0000 0.0000
Dy 0.0000 0.0000 0.5000
In 0.0000 0.5000 0.2529
In 0.5000 0.5000 0.0000
In 0.5000 0.5000 0.5000

The calculation puts the energy relative to the elements at -0.417 eV per atom. The magnetic moment is 0.722 Bohr magnetons per cell.

---

3.
The following is a DFT calculation (PBE-GGA) of a relaxed structure of CeDy2In.

Cell: 3.5224 3.5224 32.9721 Å, 90.00 90.00 120.00°
Space group R3m (No. 160, hexagonal axes)
Symmetry-distinct sites (fractional):
Ce 0.0000 0.0000 0.0000
Dy 0.0000 0.0000 0.5789
Dy 0.0000 0.0000 0.7549
In 0.0000 0.0000 0.1667

The calculation puts the energy relative to the elements at -0.092 eV per atom. The magnetic moment is 3.645 Bohr magnetons per cell.

---

4.
The following is a DFT calculation (PBE-GGA) of a relaxed structure of CeDy5In3.

Cell: 9.3680 9.3680 6.7011 Å, 90.00 90.00 120.00°
Space group P6_3/mcm (No. 193)
Symmetry-distinct sites (fractional):
Ce 0.0000 0.0000 0.0000
Dy 0.0000 0.3258 0.2500
Dy 0.3333 0.6667 0.0000
In 0.0000 0.3420 0.7500

The calculation puts the energy relative to the elements at -0.339 eV per atom. The magnetic moment is 4.868 Bohr magnetons per cell.

---

5.
The following is a DFT calculation (PBE-GGA) of a relaxed structure of CeDy12In3.

Cell: 4.8513 4.8513 19.7842 Å, 90.00 90.00 90.00°
Space group P4/mmm (No. 123)
Symmetry-distinct sites (fractional):
Ce 0.0000 0.0000 0.0000
Dy 0.0000 0.5000 0.1299
Dy 0.0000 0.5000 0.3767
Dy 0.5000 0.5000 0.0000
Dy 0.5000 0.5000 0.2548
Dy 0.5000 0.5000 0.5000
In 0.0000 0.0000 0.2557
In 0.0000 0.0000 0.5000

The calculation puts the energy relative to the elements at -0.175 eV per atom. The magnetic moment is 1.615 Bohr magnetons per cell.

---

6.
The following is a DFT calculation (PBE-GGA) of a relaxed structure of CeDy14In.

Cell: 7.0164 7.0164 9.9764 Å, 90.00 90.00 90.00°
Space group P4/mmm (No. 123)
Symmetry-distinct sites (fractional):
Ce 0.0000 0.0000 0.0000
Dy 0.0000 0.0000 0.5000
Dy 0.0000 0.5000 0.0000
Dy 0.0000 0.5000 0.5000
Dy 0.2489 0.2489 0.2471
Dy 0.5000 0.5000 0.5000
In 0.5000 0.5000 0.0000

The calculation puts the energy relative to the elements at -0.016 eV per atom. The magnetic moment is 0.610 Bohr magnetons per cell.

---

7.
The following is a DFT calculation (PBE-GGA) of a relaxed structure of CeDyIn6.

Cell: 6.6960 6.6960 5.2750 Å, 90.00 90.00 120.00°
Space group P-6m2 (No. 187)
Symmetry-distinct sites (fractional):
Ce 0.0000 0.0000 0.0000
Dy 0.3333 0.6667 0.5000
In 0.3485 0.1742 0.5000
In 0.5049 0.0099 0.0000

The calculation puts the energy relative to the elements at -0.357 eV per atom. The magnetic moment is 0.820 Bohr magnetons per cell.

---

8.
The following is a DFT calculation (PBE-GGA) of a relaxed structure of Ce2DyIn4.

Cell: 5.1524 5.1524 15.5746 Å, 90.00 90.00 90.00°
Space group I4/mmm (No. 139)
Symmetry-distinct sites (fractional):
Ce 0.0000 0.0000 0.2505
Dy 0.0000 0.0000 0.0000
In 0.0000 0.5000 0.1098

The calculation puts the energy relative to the elements at -0.238 eV per atom. The magnetic moment is 5.577 Bohr magnetons per cell.

---

9.
The following is a DFT calculation (PBE-GGA) of a relaxed structure of Ce5DyIn2.

Cell: 6.8636 13.7732 4.6354 Å, 90.00 90.00 90.00°
Space group Pbam (No. 55)
Symmetry-distinct sites (fractional):
Ce 0.0000 0.0000 0.0000
Ce 0.0373 0.2315 0.0000
Ce 0.2293 0.1387 0.5000
Dy 0.0000 0.5000 0.0000
In 0.2382 0.3827 0.5000

The calculation puts the energy relative to the elements at -0.204 eV per atom. The magnetic moment is 6.829 Bohr magnetons per cell.

---

10.
The following is a DFT calculation (PBE-GGA) of a relaxed structure of CeDyIn3.

Cell: 5.9717 5.9717 21.9061 Å, 90.00 90.00 90.00°
Space group I-4m2 (No. 119)
Symmetry-distinct sites (fractional):
Ce 0.0000 0.0000 0.0631
Dy 0.0000 0.0000 0.5000
Dy 0.0000 0.5000 0.7500
In 0.0000 0.2475 0.6273
In 0.0000 0.5000 0.0008

The calculation puts the energy relative to the elements at 0.129 eV per atom. The magnetic moment is 3.117 Bohr magnetons per cell.

---

11.
The following is a DFT calculation (PBE-GGA) of a relaxed structure of CeDy2In4.

Cell: 5.2049 5.2049 7.6234 Å, 90.00 90.00 90.00°
Space group P4/mmm (No. 123)
Symmetry-distinct sites (fractional):
Ce 0.0000 0.0000 0.0000
Dy 0.0000 0.0000 0.5000
Dy 0.5000 0.5000 0.0000
In 0.0000 0.5000 0.2739

The calculation puts the energy relative to the elements at -0.260 eV per atom. The magnetic moment is 1.331 Bohr magnetons per cell.

---

12.
The following is a DFT calculation (PBE-GGA) of a relaxed structure of CeDy5In4.

Cell: 8.4726 9.1086 8.2985 Å, 90.00 90.00 90.00°
Space group Pmmn (No. 59, origin choice 2)
Symmetry-distinct sites (fractional):
Ce 0.2500 0.2500 0.1394
Dy 0.0214 0.5514 0.2355
Dy 0.2500 0.7500 0.5786
In 0.0897 0.7500 0.9350
In 0.2500 0.0919 0.5032

The calculation puts the energy relative to the elements at -0.044 eV per atom. The magnetic moment is 1.977 Bohr magnetons per cell.

---

Q: The highest energy relative to the elements belongs to which entry?
A: CeDyIn3

---

Q: Number 2 is which compound?
A: CeDyIn6